No. 1
Below is an optimized crystal structure of ScAg5, with properties calculated at the GGA-PBE level.

Unit cell a=4.294 b=6.657 c=4.101 alpha=90.00 beta=90.00 gamma=71.18
Element x y z (fractional)
Sc 0.028 0.944 0.000
Ag 0.196 0.608 0.500
Ag 0.362 0.276 0.000
Ag 0.528 0.944 0.500
Ag 0.860 0.281 0.500
Ag 0.694 0.613 0.000

calculated total energy: -3.519 eV/atom
volume: 111 Å³/cell


No. 2
Below is an optimized crystal structure of PuCd2I8, with properties calculated at the GGA-PBE level.

Unit cell a=7.255 b=9.196 c=9.196 alpha=61.26 beta=91.13 gamma=91.13
Last column: magnetic moment on the atom in μB.
Element x y z (fractional)
Cd 0.601 0.825 0.825  0.00
Cd 0.399 0.175 0.175  0.00
Pu 0.000 0.000 0.000  4.83
I 0.325 0.342 0.342  -0.08
I 0.750 0.158 0.697  -0.09
I 0.250 0.303 0.842  -0.09
I 0.750 0.697 0.158  -0.09
I 0.250 0.842 0.303  -0.09
I 0.797 0.166 0.166  -0.09
I 0.675 0.658 0.658  -0.08
I 0.203 0.834 0.834  -0.09

energy relative to the elements, uncorrected: -0.659 eV/atom
calculated total energy: -3.256 eV/atom
volume: 538 Å³/cell


No. 3
Below is an optimized crystal structure of CrReRu, with properties calculated at the GGA-PBE level.

Unit cell a=4.663 b=4.663 c=4.663 alpha=146.50 beta=132.20 gamma=59.62
Element x y z (fractional)
Cr 0.998 0.998 0.000
Ru 0.337 0.337 0.000
Re 0.665 0.665 0.000

calculated total energy: -10.329 eV/atom
volume: 41 Å³/cell


No. 4
Below is an optimized crystal structure of Pm6Pr5Mg2, with properties calculated at the GGA-PBE level.

Unit cell a=3.600 b=10.742 c=23.104 alpha=90.00 beta=90.00 gamma=90.00
Element x y z (fractional)
Pr 0.500 0.332 0.495
Pr 0.500 0.916 0.752
Pr 0.500 0.000 0.500
Pr 0.500 0.668 0.505
Pr 0.500 0.416 0.748
Pr 0.500 0.168 0.995
Pr 0.500 0.084 0.248
Pr 0.500 0.832 0.005
Pr 0.500 0.584 0.252
Pr 0.500 0.500 0.000
Pm 0.000 0.647 0.118
Pm 0.000 0.019 0.114
Pm 0.500 0.833 0.365
Pm 0.500 0.667 0.865
Pm 0.000 0.353 0.882
Pm 0.000 0.147 0.382
Pm 0.000 0.481 0.614
Pm 0.000 0.981 0.886
Pm 0.500 0.167 0.635
Pm 0.000 0.853 0.618
Pm 0.500 0.333 0.135
Pm 0.000 0.519 0.386
Mg 0.000 0.666 0.738
Mg 0.000 0.334 0.262
Mg 0.000 0.834 0.238
Mg 0.000 0.166 0.762

calculated total energy: -4.161 eV/atom
volume: 894 Å³/cell


No. 5
Below is an optimized crystal structure of Ce5MgRu3, with properties calculated at the GGA-PBE level.

Unit cell a=7.520 b=7.520 c=9.954 alpha=72.18 beta=72.18 gamma=72.76
Last column: magnetic moment on the atom in μB.
Element x y z (fractional)
Ru 0.670 0.670 0.367  -0.08
Ru 0.330 0.330 0.633  -0.08
Ru 0.000 0.000 0.000  -0.09
Ru 0.661 0.661 0.824  -0.09
Ru 0.339 0.339 0.176  -0.09
Ru 0.000 0.000 0.500  -0.08
Ce 0.365 0.980 0.354  0.45
Ce 0.709 0.291 0.000  0.50
Ce 0.980 0.365 0.354  0.45
Ce 0.635 0.020 0.646  0.45
Ce 0.291 0.709 0.000  0.50
Ce 0.769 0.769 0.039  0.66
Ce 0.231 0.231 0.961  0.66
Ce 0.020 0.635 0.646  0.45
Ce 0.535 0.535 0.652  0.39
Ce 0.465 0.465 0.348  0.39
Mg 0.082 0.082 0.709  0.00
Mg 0.918 0.918 0.291  0.00

calculated total energy: -6.704 eV/atom
volume: 497 Å³/cell


No. 6
Below is an optimized crystal structure of Pa4SiGeSe2, with properties calculated at the GGA-PBE level.

Unit cell a=4.120 b=7.158 c=6.980 alpha=109.85 beta=90.00 gamma=90.00
Element x y z (fractional)
Pa 0.000 0.743 0.242
Pa 0.000 0.257 0.758
Pa 0.500 0.747 0.754
Pa 0.500 0.253 0.246
Si 0.500 0.500 0.000
Se 0.500 0.000 0.500
Se 0.000 0.500 0.500
Ge 0.000 0.000 0.000

energy relative to the elements, uncorrected: -0.868 eV/atom
calculated total energy: -7.742 eV/atom
volume: 194 Å³/cell


No. 7
Below is an optimized crystal structure of PmNdIrI, with properties calculated at the GGA-PBE level.

Unit cell a=4.209 b=4.209 c=8.487 alpha=90.00 beta=104.36 gamma=120.00
Element x y z (fractional)
Nd 0.515 0.156 0.686
Ir 0.305 0.550 0.870
I 0.966 0.381 0.362
Pm 0.092 0.944 0.051

energy relative to the elements, uncorrected: -0.950 eV/atom
calculated total energy: -5.933 eV/atom
volume: 125 Å³/cell


No. 8
Below is an optimized crystal structure of CoTcBr2, with properties calculated at the GGA-PBE level.

Unit cell a=3.650 b=3.650 c=7.962 alpha=85.63 beta=85.63 gamma=61.19
Element x y z (fractional)
Tc 0.151 0.151 0.430
Co 0.503 0.503 0.313
Br 0.786 0.786 0.643
Br 0.059 0.059 0.114

energy relative to the elements, uncorrected: 0.157 eV/atom
calculated total energy: -5.048 eV/atom
volume: 93 Å³/cell


No. 9
Below is an optimized crystal structure of Pm2ZrPa, with properties calculated at the GGA-PBE level.

Unit cell a=3.307 b=3.307 c=12.085 alpha=82.14 beta=82.14 gamma=60.00
Element x y z (fractional)
Zr 0.500 0.500 0.500
Pa 0.000 0.000 0.000
Pm 0.090 0.090 0.731
Pm 0.910 0.910 0.269

calculated total energy: -6.573 eV/atom
volume: 113 Å³/cell


No. 10
Below is an optimized crystal structure of B5C3, with properties calculated at the GGA-PBE level.

Unit cell a=9.416 b=9.416 c=9.416 alpha=16.07 beta=16.07 gamma=16.07
Element x y z (fractional)
B 0.943 0.943 0.943
B 0.242 0.242 0.242
B 0.442 0.442 0.442
B 0.507 0.507 0.507
B 0.743 0.743 0.743
C 0.001 0.001 0.001
C 0.685 0.685 0.685
C 0.185 0.185 0.185

calculated total energy: -7.105 eV/atom
volume: 56 Å³/cell


No. 11
Below is an optimized crystal structure of CsLaNi3, with properties calculated at the GGA-PBE level.

Unit cell a=5.222 b=5.222 c=5.222 alpha=90.00 beta=90.00 gamma=90.00
Element x y z (fractional)
Cs 0.500 0.500 0.500
Ni 0.000 0.500 0.000
Ni 0.000 0.000 0.500
Ni 0.500 0.000 0.000
La 0.000 0.000 0.000

calculated total energy: -3.607 eV/atom
volume: 142 Å³/cell


No. 12
Below is an optimized crystal structure of La6SmMg, with properties calculated at the GGA-PBE level.

Unit cell a=5.184 b=5.184 c=10.357 alpha=90.00 beta=90.00 gamma=90.00
Element x y z (fractional)
La 0.500 0.500 0.000
La 0.500 0.000 0.752
La 0.500 0.500 0.500
La 0.000 0.500 0.248
La 0.500 0.000 0.248
La 0.000 0.500 0.752
Mg 0.000 0.000 0.000
Sm 0.000 0.000 0.500

calculated total energy: -4.495 eV/atom
volume: 278 Å³/cell


Values for total magnetization, Bohr magnetons per cell, ordered as above
0.000; 3.912; 0.000; 0.000; 5.527; 0.000; 0.000; 0.000; 0.000; 0.000; 0.000; 0.000